Entry 1:
A plane-wave DFT calculation with PBE-GGA was carried out for crystalline Te2W3Se4 at its relaxed geometry.

Values from the calculation:
Formation energy (no corrections) = -376 meV/atom

Cell: 3.3955 3.3955 22.3695 Å, 90.00 90.00 120.00°
Closest atoms and distances in Å follow each position.
Space group P3m1 (No. 156)
Inequivalent atoms, fractional coordinates:
Te 0.0000 0.0000 0.0000 [1 per cell]  3 W 2.72
Te 0.0000 0.0000 0.1685 [1 per cell]  3 W 2.72
W 0.0000 0.0000 0.7558 [1 per cell]  6 Se 2.57
W 0.6667 0.3333 0.0843 [1 per cell]  6 Te 2.72
W 0.6667 0.3333 0.4410 [1 per cell]  6 Se 2.57
Se 0.0000 0.0000 0.3670 [1 per cell]  3 W 2.57
Se 0.0000 0.0000 0.5150 [1 per cell]  3 W 2.57
Se 0.6667 0.3333 0.6818 [1 per cell]  3 W 2.57
Se 0.6667 0.3333 0.8298 [1 per cell]  3 W 2.57

***

Entry 2:
A plane-wave DFT calculation with PBE-GGA was carried out for crystalline Ba2PrInAu6 at its relaxed geometry.

Values from the calculation:
DFT formation energy = -308 meV per atom

Cell: 11.0904 11.0904 11.0904 Å, 90.00 90.00 90.00°
Closest atoms and distances in Å follow each position.
Space group Fm-3m (No. 225)
Inequivalent atoms, fractional coordinates:
Ba 0.2500 0.2500 0.2500 [8 per cell]  12 Au 3.92
Pr 0.0000 0.0000 0.0000 [4 per cell]  6 Au 2.86
In 0.0000 0.0000 0.5000 [4 per cell]  6 Au 2.69
Au 0.0000 0.0000 0.2579 [24 per cell]  1 In 2.69, 1 Pr 2.86